{"formula": "BaCrClF4", "functional": "GGA+U", "state": "relaxed", "crystal_system": "monoclinic", "sg": "No. 12", "final_energy_ev_per_atom": -5.499, "cell": [[4.897, -3.933, 0.000], [4.897, 3.933, 0.000], [-1.485, 0.000, 7.920]], "species": ["Ba", "Ba", "Cr", "Cr", "Cl", "Cl", "F", "F", "F", "F", "F", "F", "F", "F"], "frac_coords": [[0.248, 0.248, 0.347], [0.752, 0.752, 0.653], [0.196, 0.196, 0.784], [0.804, 0.804, 0.216], [0.431, 0.431, 0.746], [0.569, 0.569, 0.254], [0.006, 0.006, 0.801], [0.010, 0.663, 0.386], [0.248, 0.248, 0.021], [0.337, 0.990, 0.614], [0.663, 0.010, 0.386], [0.752, 0.752, 0.979], [0.990, 0.337, 0.614], [0.994, 0.994, 0.199]]}